The following is a DFT calculation (GGA+U) of Ti3V2NiP6O24 after structural relaxation.

Output
Total DFT energy (no corrections) in eV per atom: -7.706

abc: 8.6421 8.6421 20.9074
angles: 90.00 90.00 120.00
Last column: nearest neighbours and their distance in Å.
Space group R3 (No. 146, hexagonal axes)
Inequivalent atoms, fractional coordinates:
Ti  0.0000  0.0000  0.0000 x3  6 O 1.88-2.03
Ti  0.0000  0.0000  0.2117 x3  6 O 1.90-2.05
Ti  0.0000  0.0000  0.7088 x3  6 O 1.88-2.09
V  0.0000  0.0000  0.3550 x3  6 O 2.18-2.21
V  0.0000  0.0000  0.8562 x3  6 O 2.22-2.24
Ni  0.0000  0.0000  0.4960 x3  6 O 1.99-2.12
P  0.0000  0.2924  0.6024 x9  4 O 1.49-1.57
P  0.0407  0.6683  0.7714 x9  4 O 1.52-1.56
O  0.0016  0.8111  0.1653 x9  1 P 1.55
O  0.0032  0.1891  0.6634 x9  1 P 1.57
O  0.0036  0.2038  0.5416 x9  1 P 1.49
O  0.0205  0.8371  0.7781 x9  1 P 1.56
O  0.0231  0.1856  0.2781 x9  1 P 1.57
O  0.1589  0.6890  0.7128 x9  1 P 1.55
O  0.1634  0.4878  0.6017 x9  1 P 1.57
O  0.1663  0.6930  0.0944 x9  1 P 1.52